Record 1
# LiTlSi2

A relaxed LiTlSi2 crystal (GGA-PBE, Alexandria via LeMat-Bulk).

Summary:
- Relative energy among the computed polymorphs: 295 meV/atom
- Symmetry: F-43m
- Total magnetization: 0.00 μB per formula unit
- E_form (uncorrected): 361 meV/atom

```
LiTlSi2
1.0
4.792 0.000 0.000
2.396 4.150 0.000
2.396 1.383 3.913
Si Tl Li
2 1 1
Cartesian
7.188 4.150 2.935 Si
0.000 0.000 0.000 Si
2.396 1.383 0.978 Tl
4.792 2.767 1.956 Li
```

---

Record 2
# Li2TlSi

A relaxed Li2TlSi crystal (GGA-PBE, Alexandria via LeMat-Bulk).

Summary:
- Symmetry: Cmmm
- Total magnetization: 0.00 μB per formula unit
- E_form (uncorrected): -49 meV/atom

```
Li2TlSi
1.0
4.932 0.340 0.000
-1.333 4.760 0.000
0.000 0.000 2.990
Li Tl Si
2 1 1
Cartesian
1.800 2.550 0.000 Li
0.000 0.000 0.000 Li
-0.666 2.380 1.495 Tl
2.466 0.170 1.495 Si
```

---

Record 3
# Li2TlSi

A relaxed Li2TlSi crystal (GGA-PBE, Alexandria via LeMat-Bulk).

Summary:
- Symmetry: Cm
- Total magnetization: 0.00 μB per formula unit
- E_form (uncorrected): -23 meV/atom

```
Li2TlSi
1.0
-4.106 1.378 2.539
-3.945 -1.826 2.513
1.896 0.058 4.517
Li Si Tl
2 1 1
Cartesian
-8.011 -0.446 5.064 Li
-4.757 -0.299 7.122 Li
-2.992 -0.192 4.938 Si
-1.524 -0.096 2.281 Tl
```

---

Record 4
# LiTlSi2

A relaxed LiTlSi2 crystal (GGA-PBE, Alexandria via LeMat-Bulk).

Summary:
- Relative energy among the computed polymorphs: 172 meV/atom
- Symmetry: P2/m
- Total magnetization: 0.00 μB per formula unit
- E_form (uncorrected): 237 meV/atom

```
LiTlSi2
1.0
-0.543 -3.083 3.409
1.277 -2.129 -1.722
4.737 2.388 2.915
Si Li Tl
2 1 1
Cartesian
4.439 1.986 2.504 Si
3.305 0.531 1.007 Si
4.239 -1.347 2.599 Li
1.232 -1.477 2.002 Tl
```

---

Record 5
# Li2TlSi

A relaxed Li2TlSi crystal (GGA-PBE, Alexandria via LeMat-Bulk).

Summary:
- Symmetry: I-4m2
- Total magnetization: 0.00 μB per formula unit
- E_form (uncorrected): -35 meV/atom

```
Li2TlSi
1.0
-0.650 -4.187 2.859
3.122 -3.685 -1.672
0.867 4.877 1.263
Li Tl Si
2 1 1
Cartesian
0.726 -1.621 2.357 Li
0.000 0.000 0.000 Li
2.613 -1.374 0.093 Tl
1.236 -3.936 0.594 Si
```

---

Record 6
# LiTlSi2

A relaxed LiTlSi2 crystal (GGA-PBE, Alexandria via LeMat-Bulk).

Summary:
- Relative energy among the computed polymorphs: 0 meV/atom
- Symmetry: Cm
- Total magnetization: 0.00 μB per formula unit
- E_form (uncorrected): 66 meV/atom

```
LiTlSi2
1.0
-1.002 -0.186 -3.625
-0.628 -3.356 -1.588
-7.722 -0.913 -0.006
Li Tl Si
1 1 2
Cartesian
-1.763 -0.863 -1.019 Li
-4.913 -2.950 -3.690 Tl
-9.021 -4.233 -4.934 Si
-7.682 -3.094 -3.407 Si
```

---

Record 7
# LiTlSi2

A relaxed LiTlSi2 crystal (GGA-PBE, Alexandria via LeMat-Bulk).

Summary:
- Relative energy among the computed polymorphs: 428 meV/atom
- Symmetry: Fm-3m
- Total magnetization: 0.00 μB per formula unit
- E_form (uncorrected): 494 meV/atom

```
LiTlSi2
1.0
0.000 3.427 3.427
3.427 0.000 3.427
3.427 3.427 0.000
Li Tl Si
1 1 2
Cartesian
0.000 0.000 0.000 Li
3.427 3.427 3.427 Tl
1.713 1.713 1.713 Si
5.140 5.140 5.140 Si
```

---

Record 8
# LiTlSi2

A relaxed LiTlSi2 crystal (GGA-PBE, Alexandria via LeMat-Bulk).

Summary:
- Relative energy among the computed polymorphs: 304 meV/atom
- Symmetry: Cmmm
- Total magnetization: 0.00 μB per formula unit
- E_form (uncorrected): 370 meV/atom

```
LiTlSi2
1.0
5.509 -0.081 0.000
-2.866 4.705 0.000
0.000 0.000 3.006
Si Tl Li
2 1 1
Cartesian
1.321 2.312 0.000 Si
0.000 0.000 0.000 Si
2.754 -0.040 1.503 Tl
-1.433 2.353 1.503 Li
```

---

Table of volume (Å³/f.u.), in record order: 77.8 71.6 73.8 82.5 73.0 91.0 80.5 77.2